(1)
# Pr2NdNO2

A relaxed structure of Pr2NdNO2 (PBE-GGA, the Open Quantum Materials Database).

Computed properties:
Energy = -0.2843 Ha/atom

a = 3.6025 Å, b = 3.6025 Å, c = 8.8110 Å
α = 90.00°, β = 90.00°, γ = 120.00°
Closest atoms and distances in Å follow each position.
Positions (direct):
Pr 0.3333 0.6667 0.1628  3 N 2.53, 3 O 2.63
Pr 0.6667 0.3333 0.8372  3 N 2.53, 3 O 2.63
Nd 0.0000 0.0000 0.5000  6 O 2.49
N 0.0000 0.0000 0.0000  6 Pr 2.53
O 0.3333 0.6667 0.6548  3 Nd 2.49, 3 Pr 2.63
O 0.6667 0.3333 0.3452  3 Nd 2.49, 3 Pr 2.63


(2)
# PrNd2NO2

A relaxed structure of PrNd2NO2 (PBE-GGA, the Open Quantum Materials Database).

Computed properties:
Energy = -0.2850 Ha/atom

a = 3.5877 Å, b = 3.5877 Å, c = 8.7983 Å
α = 90.00°, β = 90.00°, γ = 120.00°
Closest atoms and distances in Å follow each position.
Positions (direct):
Pr 0.0000 0.0000 0.0000  6 O 2.53
Nd 0.3333 0.6667 0.6623  3 N 2.52, 3 O 2.57
Nd 0.6667 0.3333 0.3377  3 N 2.52, 3 O 2.57
N 0.0000 0.0000 0.5000  6 Nd 2.52
O 0.3333 0.6667 0.1650  3 Pr 2.53, 3 Nd 2.57
O 0.6667 0.3333 0.8350  3 Pr 2.53, 3 Nd 2.57


(3)
# NdPtNO

A relaxed structure of NdPtNO (PBE-GGA, the Open Quantum Materials Database).

Computed properties:
Distance to the lowest polymorph of the same formula = 0.0 meV/atom

a = 4.2292 Å, b = 4.2292 Å, c = 7.3875 Å
α = 90.00°, β = 90.00°, γ = 90.00°
Closest atoms and distances in Å follow each position.
Positions (direct):
Nd 0.2500 0.2500 0.1436  4 O 2.37, 1 N 2.40
Nd 0.7500 0.7500 0.8564  4 O 2.37, 1 N 2.40
Pt 0.2500 0.7500 0.5000  4 N 2.13
Pt 0.7500 0.2500 0.5000  4 N 2.13
N 0.2500 0.2500 0.4683  4 Pt 2.13
N 0.7500 0.7500 0.5317  4 Pt 2.13
O 0.2500 0.7500 0.0000  4 Nd 2.37
O 0.7500 0.2500 0.0000  4 Nd 2.37


(4)
# NdPtNO

A relaxed structure of NdPtNO (PBE-GGA, the Open Quantum Materials Database).

Computed properties:
Distance to the lowest polymorph of the same formula = 516.8 meV/atom

a = 5.0243 Å, b = 5.0243 Å, c = 4.5617 Å
α = 90.00°, β = 90.00°, γ = 90.00°
Closest atoms and distances in Å follow each position.
Positions (direct):
Nd 0.2500 0.7500 0.0000  2 O 2.28, 4 N 2.51
Nd 0.7500 0.2500 0.0000  2 O 2.28, 4 N 2.51
Pt 0.2500 0.2500 0.4960  2 N 2.27-2.29, 4 O 2.51
Pt 0.7500 0.7500 0.5040  2 N 2.27-2.29, 4 O 2.51
N 0.2500 0.2500 0.9941  2 Pt 2.27-2.29, 4 Nd 2.51
N 0.7500 0.7500 0.0059  2 Pt 2.27-2.29, 4 Nd 2.51
O 0.2500 0.7500 0.5000  2 Nd 2.28, 4 Pt 2.51
O 0.7500 0.2500 0.5000  2 Nd 2.28, 4 Pt 2.51


(5)
# NdPtNO

A relaxed structure of NdPtNO (PBE-GGA, the Open Quantum Materials Database).

Computed properties:
Distance to the lowest polymorph of the same formula = 99.3 meV/atom

a = 3.6565 Å, b = 5.9485 Å, c = 5.8147 Å
α = 90.00°, β = 90.00°, γ = 90.00°
Closest atoms and distances in Å follow each position.
Positions (direct):
Nd 0.0000 0.1487 0.0000  4 O 2.49-2.50, 1 N 2.64
Nd 0.0000 0.8513 0.5000  4 O 2.49-2.50, 1 N 2.64
Pt 0.5000 0.4281 0.4353  2 N 1.83
Pt 0.5000 0.5719 0.9353  2 N 1.83
N 0.0000 0.4119 0.4332  2 Pt 1.83
N 0.0000 0.5881 0.9332  2 Pt 1.83
O 0.5000 0.0063 0.7452  4 Nd 2.49-2.50
O 0.5000 0.9937 0.2452  4 Nd 2.49-2.50


(6)
# NdPtNO

A relaxed structure of NdPtNO (PBE-GGA, the Open Quantum Materials Database).

Computed properties:
Distance to the lowest polymorph of the same formula = 206.6 meV/atom

a = 4.4557 Å, b = 6.6191 Å, c = 4.8298 Å
α = 90.00°, β = 90.00°, γ = 90.00°
Closest atoms and distances in Å follow each position.
Positions (direct):
Nd 0.0000 0.1994 0.0000  2 O 2.25-2.35, 2 N 2.38
Nd 0.0000 0.8006 0.5000  2 O 2.25-2.35, 2 N 2.38
Pt 0.5000 0.4218 0.5238  2 N 1.94-1.98
Pt 0.5000 0.5782 0.0238  2 N 1.94-1.98
N 0.5000 0.2960 0.8861  2 Pt 1.94-1.98
N 0.5000 0.7040 0.3861  2 Pt 1.94-1.98
O 0.0000 0.1397 0.4798  2 Nd 2.25-2.35
O 0.0000 0.8603 0.9798  2 Nd 2.25-2.35


(7)
# NdSbN2O

A relaxed structure of NdSbN2O (PBE-GGA, the Open Quantum Materials Database).

Computed properties:
Energy = -0.2576 Ha/atom

a = 5.7457 Å, b = 8.1922 Å, c = 5.6434 Å
α = 90.00°, β = 90.00°, γ = 90.00°
Closest atoms and distances in Å follow each position.
Positions (direct):
Nd 0.0485 0.2500 0.0186  2 O 2.42-2.54, 4 N 2.44-2.65
Nd 0.4515 0.7500 0.5186  2 O 2.42-2.54, 4 N 2.44-2.65
Nd 0.5485 0.2500 0.4814  2 O 2.42-2.54, 4 N 2.44-2.65
Nd 0.9515 0.7500 0.9814  2 O 2.42-2.54, 4 N 2.44-2.65
Sb 0.0000 0.0000 0.5000  4 N 2.08-2.09, 2 O 2.12
Sb 0.0000 0.5000 0.5000  4 N 2.08-2.09, 2 O 2.12
Sb 0.5000 0.0000 0.0000  4 N 2.08-2.09, 2 O 2.12
Sb 0.5000 0.5000 0.0000  4 N 2.08-2.09, 2 O 2.12
N 0.2073 0.5514 0.7935  2 Sb 2.08-2.09
N 0.2073 0.9486 0.7935  2 Sb 2.08-2.09
N 0.2927 0.0514 0.2935  2 Sb 2.08-2.09
N 0.2927 0.4486 0.2935  2 Sb 2.08-2.09
N 0.7073 0.5514 0.7065  2 Sb 2.08-2.09
N 0.7073 0.9486 0.7065  2 Sb 2.08-2.09
N 0.7927 0.0514 0.2065  2 Sb 2.08-2.09
N 0.7927 0.4486 0.2065  2 Sb 2.08-2.09
O 0.0240 0.7500 0.4030  2 Sb 2.12
O 0.4760 0.2500 0.9030  2 Sb 2.12
O 0.5240 0.7500 0.0970  2 Sb 2.12
O 0.9760 0.2500 0.5970  2 Sb 2.12


(8)
# NdSbN2O

A relaxed structure of NdSbN2O (PBE-GGA, the Open Quantum Materials Database).

Computed properties:
Energy = -0.2568 Ha/atom

a = 8.1033 Å, b = 8.0190 Å, c = 11.4056 Å
α = 90.00°, β = 134.45°, γ = 90.00°
Closest atoms and distances in Å follow each position.
Positions (direct):
Nd 0.1960 0.0111 0.2377  2 O 2.40-2.42, 3 N 2.42-2.58
Nd 0.1960 0.4889 0.7377  2 O 2.40-2.42, 3 N 2.42-2.58
Nd 0.2442 0.5097 0.2456  4 N 2.42-2.64, 2 O 2.58-2.71
Nd 0.2442 0.9903 0.7456  4 N 2.42-2.64, 2 O 2.58-2.71
Nd 0.7558 0.0097 0.2544  4 N 2.42-2.64, 2 O 2.58-2.71
Nd 0.7558 0.4903 0.7544  4 N 2.42-2.64, 2 O 2.58-2.71
Nd 0.8040 0.5111 0.2623  2 O 2.40-2.42, 3 N 2.42-2.58
Nd 0.8040 0.9889 0.7623  2 O 2.40-2.42, 3 N 2.42-2.58
Sb 0.2705 0.2497 0.0146  4 N 2.03-2.07, 2 O 2.15-2.20
Sb 0.2705 0.2503 0.5146  4 N 2.03-2.07, 2 O 2.15-2.20
Sb 0.2756 0.7436 0.0106  4 N 2.03-2.07, 2 O 2.15-2.21
Sb 0.2756 0.7564 0.5106  4 N 2.03-2.07, 2 O 2.15-2.21
Sb 0.7244 0.2436 0.4894  4 N 2.03-2.07, 2 O 2.15-2.21
Sb 0.7244 0.2564 0.9894  4 N 2.03-2.07, 2 O 2.15-2.21
Sb 0.7295 0.7497 0.4854  4 N 2.03-2.07, 2 O 2.15-2.20
Sb 0.7295 0.7503 0.9854  4 N 2.03-2.07, 2 O 2.15-2.20
N 0.1744 0.0033 0.4721  2 Sb 2.06-2.07
N 0.1744 0.4967 0.9721  2 Sb 2.06-2.07
N 0.2496 0.5040 0.4705  2 Sb 2.05-2.07
N 0.2496 0.9960 0.9705  2 Sb 2.05-2.07
N 0.4186 0.2366 0.2500  2 Sb 2.03-2.04
N 0.4186 0.2634 0.7500  2 Sb 2.03-2.04
N 0.4294 0.7174 0.9261  2 Sb 2.03-2.05
N 0.4294 0.7826 0.4261  2 Sb 2.03-2.05
N 0.5706 0.2174 0.5739  2 Sb 2.03-2.05
N 0.5706 0.2826 0.0739  2 Sb 2.03-2.05
N 0.5814 0.7366 0.2500  2 Sb 2.03-2.04
N 0.5814 0.7634 0.7500  2 Sb 2.03-2.04
N 0.7504 0.0040 0.0295  2 Sb 2.05-2.07
N 0.7504 0.4960 0.5295  2 Sb 2.05-2.07
N 0.8256 0.5033 0.0279  2 Sb 2.06-2.07
N 0.8256 0.9967 0.5279  2 Sb 2.06-2.07
O 0.0491 0.2391 0.7535  2 Sb 2.15-2.21, 1 Nd 2.40
O 0.0491 0.2609 0.2535  2 Sb 2.15-2.21, 1 Nd 2.40
O 0.0541 0.7174 0.5488  2 Sb 2.15-2.20
O 0.0541 0.7826 0.0488  2 Sb 2.15-2.20
O 0.9459 0.2174 0.9512  2 Sb 2.15-2.20
O 0.9459 0.2826 0.4512  2 Sb 2.15-2.20
O 0.9509 0.7391 0.7465  2 Sb 2.15-2.21, 1 Nd 2.40
O 0.9509 0.7609 0.2465  2 Sb 2.15-2.21, 1 Nd 2.40


(9)
# NdSbN2O

A relaxed structure of NdSbN2O (PBE-GGA, the Open Quantum Materials Database).

Computed properties:
Energy = -0.2574 Ha/atom

a = 7.9638 Å, b = 5.7151 Å, c = 5.8014 Å
α = 90.00°, β = 90.00°, γ = 90.00°
Closest atoms and distances in Å follow each position.
Positions (direct):
Nd 0.0000 0.2382 0.0000  4 N 2.38-2.51
Nd 0.0000 0.7618 0.5000  4 N 2.38-2.51
Nd 0.5000 0.2527 0.9025  4 N 2.46-2.74, 4 O 2.48-2.69
Nd 0.5000 0.7473 0.4025  4 N 2.46-2.74, 4 O 2.48-2.69
Sb 0.2462 0.2377 0.4532  4 N 2.06-2.08, 2 O 2.15-2.16
Sb 0.2462 0.7623 0.9532  4 N 2.06-2.08, 2 O 2.15-2.16
Sb 0.7538 0.2377 0.4532  4 N 2.06-2.08, 2 O 2.15-2.16
Sb 0.7538 0.7623 0.9532  4 N 2.06-2.08, 2 O 2.15-2.16
N 0.0000 0.3535 0.4178  2 Sb 2.08
N 0.0000 0.6465 0.9178  2 Sb 2.08
N 0.2064 0.0542 0.7530  2 Sb 2.06
N 0.2064 0.9458 0.2530  2 Sb 2.06
N 0.5000 0.1706 0.4795  2 Sb 2.06
N 0.5000 0.8294 0.9795  2 Sb 2.06
N 0.7936 0.0542 0.7530  2 Sb 2.06
N 0.7936 0.9458 0.2530  2 Sb 2.06
O 0.2993 0.4585 0.1602  2 Sb 2.15-2.16
O 0.2993 0.5415 0.6602  2 Sb 2.15-2.16
O 0.7007 0.4585 0.1602  2 Sb 2.15-2.16
O 0.7007 0.5415 0.6602  2 Sb 2.15-2.16


(10)
# NdSbNO

A relaxed structure of NdSbNO (PBE-GGA, the Open Quantum Materials Database).

Computed properties:
Distance to the lowest polymorph of the same formula = 0.0 meV/atom

a = 5.6764 Å, b = 8.4294 Å, c = 6.0260 Å
α = 90.00°, β = 90.00°, γ = 90.00°
Closest atoms and distances in Å follow each position.
Positions (direct):
Nd 0.0083 0.1331 0.0000  4 O 2.34-2.38, 1 N 2.44
Nd 0.4917 0.1331 0.5000  4 O 2.34-2.38, 1 N 2.44
Nd 0.5083 0.8669 0.0000  4 O 2.34-2.38, 1 N 2.44
Nd 0.9917 0.8669 0.5000  4 O 2.34-2.38, 1 N 2.44
Sb 0.0182 0.3767 0.5114  2 N 2.03-2.08
Sb 0.4818 0.3767 0.0114  2 N 2.03-2.08
Sb 0.5182 0.6233 0.5114  2 N 2.03-2.08
Sb 0.9818 0.6233 0.0114  2 N 2.03-2.08
N 0.1536 0.5993 0.5168  2 Sb 2.03-2.08
N 0.3464 0.5993 0.0168  2 Sb 2.03-2.08
N 0.6536 0.4007 0.5168  2 Sb 2.03-2.08
N 0.8464 0.4007 0.0168  2 Sb 2.03-2.08
O 0.2490 0.9886 0.2493  4 Nd 2.34-2.38
O 0.2510 0.9886 0.7493  4 Nd 2.34-2.38
O 0.7490 0.0114 0.2493  4 Nd 2.34-2.38
O 0.7510 0.0114 0.7493  4 Nd 2.34-2.38


(11)
# NdSbNO

A relaxed structure of NdSbNO (PBE-GGA, the Open Quantum Materials Database).

Computed properties:
Distance to the lowest polymorph of the same formula = 230.6 meV/atom

a = 3.8138 Å, b = 6.4342 Å, c = 5.8954 Å
α = 90.00°, β = 90.00°, γ = 90.00°
Closest atoms and distances in Å follow each position.
Positions (direct):
Nd 0.0000 0.1560 0.0000  2 O 2.34, 2 N 2.39-2.40
Nd 0.0000 0.8440 0.5000  2 O 2.34, 2 N 2.39-2.40
Sb 0.5000 0.3494 0.4806  1 O 2.15, 2 N 2.17
Sb 0.5000 0.6506 0.9806  1 O 2.15, 2 N 2.17
N 0.0000 0.2055 0.4039  2 Sb 2.17, 2 Nd 2.39-2.40
N 0.0000 0.7945 0.9039  2 Sb 2.17, 2 Nd 2.39-2.40
O 0.5000 0.1453 0.7689  1 Sb 2.15, 2 Nd 2.34
O 0.5000 0.8547 0.2689  1 Sb 2.15, 2 Nd 2.34


(12)
# NdSbN2O

A relaxed structure of NdSbN2O (PBE-GGA, the Open Quantum Materials Database).

Computed properties:
Energy = -0.2513 Ha/atom

a = 4.0625 Å, b = 3.9968 Å, c = 4.0687 Å
α = 90.00°, β = 90.42°, γ = 90.00°
Closest atoms and distances in Å follow each position.
Positions (direct):
Nd 0.0000 0.0000 0.0000  2 O 2.57-2.86, 4 N 2.69-2.71
Sb 0.5240 0.5000 0.4725  2 O 2.01, 4 N 2.01-2.07
N 0.0299 0.5000 0.4426  2 Sb 2.01-2.06
N 0.5505 0.5000 0.9656  2 Sb 2.01-2.07
O 0.5508 0.0000 0.4408  2 Sb 2.01